Entry 1:
Density functional theory data (PBE) for VZn2CoTc after structural relaxation.

Summary:
Calculated formation energy: 868.0 meV per atom
M_tot: 1.6 μB per formula unit
SG: P4/mmm
Total DFT energy (no corrections): -4.960 eV per atom

Geometry as POSCAR:
```
VZn2CoTc
1.0
4.430 0.000 0.000
0.000 4.430 0.000
0.000 0.000 4.176
V Zn Co Tc
1 2 1 1
Direct
0.000 0.000 0.000
0.000 0.500 0.500
0.500 0.000 0.500
0.000 0.000 0.500
0.500 0.500 0.000
```

Entry 2:
Density functional theory data (PBE) for ZrVCoTc after structural relaxation.

Summary:
Calculated formation energy: -183.1 meV per atom
M_tot: 1.1 μB per formula unit
SG: F-43m
Total DFT energy (no corrections): -8.968 eV per atom

Geometry as POSCAR:
```
ZrVCoTc
1.0
0.000 3.109 3.109
3.109 0.000 3.109
3.109 3.109 0.000
Zr V Co Tc
1 1 1 1
Direct
0.000 0.000 0.000
0.500 0.500 0.500
0.250 0.250 0.250
0.750 0.750 0.750
```

Entry 3:
Density functional theory data (PBE) for CoTcW after structural relaxation.

Summary:
Calculated formation energy: 156.4 meV per atom
M_tot: 1.1 μB per formula unit
SG: P3m1
Offset from the most stable computed form: 119.7 meV/atom
Total DFT energy (no corrections): -9.985 eV per atom

Geometry as POSCAR:
```
CoTcW
1.0
4.304 0.000 0.000
-2.152 3.728 0.000
0.000 0.000 2.634
Co Tc W
1 1 1
Direct
0.000 0.000 0.000
0.667 0.333 0.433
0.333 0.667 0.756
```

Entry 4:
Density functional theory data (PBE) for CoTc3W after structural relaxation.

Summary:
Calculated formation energy: 1419.7 meV per atom
M_tot: 0.0 μB per formula unit
SG: Pm-3m
Offset from the most stable computed form: 0.0 meV/atom
Total DFT energy (no corrections): -8.812 eV per atom

Geometry as POSCAR:
```
CoTc3W
1.0
4.339 0.000 0.000
0.000 4.339 0.000
0.000 0.000 4.339
Co Tc W
1 3 1
Direct
0.000 0.000 0.000
0.000 0.000 0.500
0.000 0.500 0.000
0.500 0.000 0.000
0.500 0.500 0.500
```

Entry 5:
Density functional theory data (PBE) for CoTcW2 after structural relaxation.

Summary:
Calculated formation energy: 125.7 meV per atom
M_tot: 0.4 μB per formula unit
SG: Fmmm
Offset from the most stable computed form: 9.2 meV/atom
Total DFT energy (no corrections): -10.719 eV per atom

Geometry as POSCAR:
```
CoTcW2
1.0
0.000 2.786 3.727
2.778 0.000 3.727
2.778 2.786 0.000
Co Tc W
1 1 2
Direct
0.000 0.000 0.000
0.500 0.500 0.500
0.250 0.250 0.250
0.750 0.750 0.750
```

Entry 6:
Density functional theory data (PBE) for CoTcW2 after structural relaxation.

Summary:
Calculated formation energy: 151.7 meV per atom
M_tot: 0.6 μB per formula unit
SG: P4/mmm
Offset from the most stable computed form: 35.3 meV/atom
Total DFT energy (no corrections): -10.693 eV per atom

Geometry as POSCAR:
```
CoTcW2
1.0
3.190 0.000 0.000
0.000 3.190 0.000
0.000 0.000 5.674
Co Tc W
1 1 2
Direct
0.000 0.000 0.000
0.000 0.000 0.500
0.500 0.500 0.233
0.500 0.500 0.767
```

Entry 7:
Density functional theory data (PBE) for CoTcW2 after structural relaxation.

Summary:
Calculated formation energy: 185.0 meV per atom
M_tot: 1.6 μB per formula unit
SG: Imm2
Offset from the most stable computed form: 68.5 meV/atom
Total DFT energy (no corrections): -10.660 eV per atom

Geometry as POSCAR:
```
CoTcW2
1.0
-1.574 2.155 4.333
1.574 -2.155 4.333
1.574 2.155 -4.333
Co Tc W
1 1 2
Direct
0.000 0.000 0.000
0.735 0.235 0.500
0.245 0.745 0.500
0.490 0.490 0.000
```

Entry 8:
Density functional theory data (PBE) for CoTcW2 after structural relaxation.

Summary:
Calculated formation energy: 176.5 meV per atom
M_tot: 0.0 μB per formula unit
SG: Cm
Offset from the most stable computed form: 60.0 meV/atom
Total DFT energy (no corrections): -10.668 eV per atom

Geometry as POSCAR:
```
CoTcW2
1.0
4.534 -1.367 0.000
4.534 1.367 0.000
-0.846 0.000 4.669
Co Tc W
1 1 2
Direct
0.000 0.000 0.000
0.732 0.732 0.254
0.260 0.260 0.784
0.495 0.495 0.497
```

Entry 9:
Density functional theory data (PBE) for CoTcW after structural relaxation.

Summary:
Calculated formation energy: 115.7 meV per atom
M_tot: 0.5 μB per formula unit
SG: I4mm
Offset from the most stable computed form: 79.0 meV/atom
Total DFT energy (no corrections): -10.026 eV per atom

Geometry as POSCAR:
```
CoTcW
1.0
-1.338 1.338 5.759
1.338 -1.338 5.759
1.338 1.338 -5.759
Co Tc W
1 1 1
Direct
0.000 0.000 0.000
0.649 0.649 0.000
0.338 0.338 0.000
```

Entry 10:
Density functional theory data (PBE) for CoTcW3 after structural relaxation.

Summary:
Calculated formation energy: 1465.7 meV per atom
M_tot: 0.0 μB per formula unit
SG: Pm-3m
Offset from the most stable computed form: 0.0 meV/atom
Total DFT energy (no corrections): -9.801 eV per atom

Geometry as POSCAR:
```
CoTcW3
1.0
4.412 0.000 0.000
0.000 4.412 0.000
0.000 0.000 4.412
Co Tc W
1 1 3
Direct
0.000 0.000 0.000
0.500 0.500 0.500
0.000 0.000 0.500
0.000 0.500 0.000
0.500 0.000 0.000
```

Entry 11:
Density functional theory data (PBE) for CoTcW2 after structural relaxation.

Summary:
Calculated formation energy: 187.4 meV per atom
M_tot: 1.6 μB per formula unit
SG: C2/m
Offset from the most stable computed form: 71.0 meV/atom
Total DFT energy (no corrections): -10.657 eV per atom

Geometry as POSCAR:
```
CoTcW2
1.0
2.690 -4.324 0.000
2.690 4.324 0.000
-0.898 0.000 2.523
Co Tc W
1 1 2
Direct
0.000 0.000 0.000
0.500 0.500 0.000
0.000 0.500 0.500
0.500 0.000 0.500
```

Entry 12:
Density functional theory data (PBE) for CoTcW2 after structural relaxation.

Summary:
Calculated formation energy: 169.9 meV per atom
M_tot: 0.0 μB per formula unit
SG: Pm
Offset from the most stable computed form: 53.5 meV/atom
Total DFT energy (no corrections): -10.675 eV per atom

Geometry as POSCAR:
```
CoTcW2
1.0
2.674 0.000 0.000
0.000 4.340 0.000
-0.875 0.000 5.036
Co Tc W
1 1 2
Direct
0.000 0.000 0.000
0.609 0.500 0.258
0.107 0.500 0.773
0.365 0.000 0.504
```

Entry 13:
Density functional theory data (PBE) for CoTcW3 after structural relaxation.

Summary:
Calculated formation energy: 2247.5 meV per atom
M_tot: 0.0 μB per formula unit
SG: Pm-3m
Offset from the most stable computed form: 781.8 meV/atom
Total DFT energy (no corrections): -9.019 eV per atom

Geometry as POSCAR:
```
CoTcW3
1.0
4.652 0.000 0.000
0.000 4.652 0.000
0.000 0.000 4.652
Co Tc W
1 1 3
Direct
0.000 0.000 0.000
0.500 0.500 0.500
0.000 0.500 0.500
0.500 0.000 0.500
0.500 0.500 0.000
```

Entry 14:
Density functional theory data (PBE) for CoTcW2 after structural relaxation.

Summary:
Calculated formation energy: 138.2 meV per atom
M_tot: 0.0 μB per formula unit
SG: P4mm
Offset from the most stable computed form: 21.8 meV/atom
Total DFT energy (no corrections): -10.706 eV per atom

Geometry as POSCAR:
```
CoTcW2
1.0
3.149 0.000 0.000
0.000 3.149 0.000
0.000 0.000 5.860
Co Tc W
1 1 2
Direct
0.000 0.000 0.000
0.500 0.500 0.275
0.000 0.000 0.517
0.500 0.500 0.808
```

Entry 15:
Density functional theory data (PBE) for CoTcW after structural relaxation.

Summary:
Calculated formation energy: 36.7 meV per atom
M_tot: 0.0 μB per formula unit
SG: Fddd
Offset from the most stable computed form: 0.0 meV/atom
Total DFT energy (no corrections): -10.105 eV per atom

Geometry as POSCAR:
```
CoTcW
1.0
0.000 4.092 8.519
2.372 0.000 8.519
2.372 4.092 0.000
Co Tc W
4 4 4
Direct
0.000 0.000 0.250
0.000 0.000 0.750
0.250 0.250 0.000
0.750 0.750 0.000
0.042 0.708 0.042
0.292 0.958 0.292
0.708 0.042 0.708
0.958 0.292 0.958
0.297 0.297 0.453
0.453 0.453 0.297
0.547 0.547 0.703
0.703 0.703 0.547
```

Entry 16:
Density functional theory data (PBE) for CoTcW after structural relaxation.

Summary:
Calculated formation energy: 168.4 meV per atom
M_tot: 1.9 μB per formula unit
SG: I4mm
Offset from the most stable computed form: 131.7 meV/atom
Total DFT energy (no corrections): -9.973 eV per atom

Geometry as POSCAR:
```
CoTcW
1.0
-1.573 1.573 4.283
1.573 -1.573 4.283
1.573 1.573 -4.283
Co Tc W
1 1 1
Direct
0.000 0.000 0.000
0.326 0.326 0.000
0.660 0.660 0.000
```

Entry 17:
Density functional theory data (PBE) for Co4TcW after structural relaxation.

Summary:
Calculated formation energy: 33.6 meV per atom
M_tot: 3.0 μB per formula unit
SG: F-43m
Total DFT energy (no corrections): -8.590 eV per atom

Geometry as POSCAR:
```
Co4TcW
1.0
0.000 3.293 3.293
3.293 0.000 3.293
3.293 3.293 0.000
Co Tc W
4 1 1
Direct
0.125 0.125 0.125
0.125 0.125 0.626
0.125 0.626 0.125
0.626 0.125 0.125
0.750 0.750 0.750
0.500 0.500 0.500
```

Entry 18:
Density functional theory data (PBE) for CoTcW2 after structural relaxation.

Summary:
Calculated formation energy: 292.5 meV per atom
M_tot: 1.0 μB per formula unit
SG: R-3m
Offset from the most stable computed form: 176.0 meV/atom
Total DFT energy (no corrections): -10.552 eV per atom

Geometry as POSCAR:
```
CoTcW2
1.0
1.378 0.795 8.898
-1.378 0.795 8.898
0.000 -1.591 8.898
Co Tc W
1 1 2
Direct
0.000 0.000 0.000
0.500 0.500 0.500
0.254 0.254 0.254
0.746 0.746 0.746
```

Entry 19:
Density functional theory data (PBE) for CoTcW after structural relaxation.

Summary:
Calculated formation energy: 167.7 meV per atom
M_tot: 0.9 μB per formula unit
SG: Imm2
Offset from the most stable computed form: 131.0 meV/atom
Total DFT energy (no corrections): -9.974 eV per atom

Geometry as POSCAR:
```
CoTcW
1.0
-1.317 1.935 4.106
1.317 -1.935 4.106
1.317 1.935 -4.106
Co Tc W
1 1 1
Direct
0.000 0.000 0.000
0.656 0.656 0.000
0.335 0.335 0.000
```

Entry 20:
Density functional theory data (PBE) for CoTcW4 after structural relaxation.

Summary:
Calculated formation energy: 580.5 meV per atom
M_tot: 1.2 μB per formula unit
SG: F-43m
Total DFT energy (no corrections): -10.967 eV per atom

Geometry as POSCAR:
```
CoTcW4
1.0
0.000 3.658 3.658
3.658 0.000 3.658
3.658 3.658 0.000
Co Tc W
1 1 4
Direct
0.000 0.000 0.000
0.750 0.750 0.750
0.375 0.375 0.375
0.375 0.375 0.876
0.375 0.876 0.375
0.876 0.375 0.375
```

Entry 21:
Density functional theory data (PBE) for CoTcW2 after structural relaxation.

Summary:
Calculated formation energy: 136.7 meV per atom
M_tot: 0.0 μB per formula unit
SG: Cmmm
Offset from the most stable computed form: 20.3 meV/atom
Total DFT energy (no corrections): -10.708 eV per atom

Geometry as POSCAR:
```
CoTcW2
1.0
1.635 -2.146 0.000
1.635 2.146 0.000
0.000 0.000 8.214
Co Tc W
1 1 2
Direct
0.000 0.000 0.000
0.000 0.000 0.500
0.500 0.500 0.233
0.500 0.500 0.767
```

Entry 22:
Density functional theory data (PBE) for CoTcW2 after structural relaxation.

Summary:
Calculated formation energy: 230.1 meV per atom
M_tot: 2.3 μB per formula unit
SG: F-43m
Offset from the most stable computed form: 113.7 meV/atom
Total DFT energy (no corrections): -10.614 eV per atom

Geometry as POSCAR:
```
CoTcW2
1.0
0.000 3.086 3.086
3.086 0.000 3.086
3.086 3.086 0.000
Co Tc W
1 1 2
Direct
0.000 0.000 0.000
0.750 0.750 0.750
0.250 0.250 0.250
0.500 0.500 0.500
```

Entry 23:
Density functional theory data (PBE) for CoTcW2 after structural relaxation.

Summary:
Calculated formation energy: 238.3 meV per atom
M_tot: 1.7 μB per formula unit
SG: Fm-3m
Offset from the most stable computed form: 121.8 meV/atom
Total DFT energy (no corrections): -10.606 eV per atom

Geometry as POSCAR:
```
CoTcW2
1.0
0.000 3.079 3.079
3.079 0.000 3.079
3.079 3.079 0.000
Co Tc W
1 1 2
Direct
0.000 0.000 0.000
0.500 0.500 0.500
0.250 0.250 0.250
0.750 0.750 0.750
```

Entry 24:
Density functional theory data (PBE) for CoTc3W after structural relaxation.

Summary:
Calculated formation energy: 2057.4 meV per atom
M_tot: 1.4 μB per formula unit
SG: Pm-3m
Offset from the most stable computed form: 637.7 meV/atom
Total DFT energy (no corrections): -8.174 eV per atom

Geometry as POSCAR:
```
CoTc3W
1.0
4.664 0.000 0.000
0.000 4.664 0.000
0.000 0.000 4.664
Co Tc W
1 3 1
Direct
0.000 0.000 0.000
0.000 0.500 0.500
0.500 0.000 0.500
0.500 0.500 0.000
0.500 0.500 0.500
```

Entry 25:
Density functional theory data (PBE) for CoTcW2 after structural relaxation.

Summary:
Calculated formation energy: 116.5 meV per atom
M_tot: 0.6 μB per formula unit
SG: P4/mmm
Offset from the most stable computed form: 0.0 meV/atom
Total DFT energy (no corrections): -10.728 eV per atom

Geometry as POSCAR:
```
CoTcW2
1.0
3.891 0.000 0.000
0.000 3.891 0.000
0.000 0.000 3.800
Co Tc W
1 1 2
Direct
0.000 0.000 0.000
0.500 0.500 0.000
0.000 0.500 0.500
0.500 0.000 0.500
```

Entry 26:
Density functional theory data (PBE) for CoTcW2 after structural relaxation.

Summary:
Calculated formation energy: 1633.1 meV per atom
M_tot: 0.0 μB per formula unit
SG: I-42d
Offset from the most stable computed form: 1516.6 meV/atom
Total DFT energy (no corrections): -9.211 eV per atom

Geometry as POSCAR:
```
CoTcW2
1.0
-2.760 2.760 5.448
2.760 -2.760 5.448
2.760 2.760 -5.448
Co Tc W
2 2 4
Direct
0.000 0.000 0.000
0.750 0.250 0.500
0.250 0.750 0.500
0.500 0.500 0.000
0.097 0.625 0.972
0.375 0.347 0.472
0.653 0.125 0.028
0.875 0.903 0.528
```

Entry 27:
Density functional theory data (PBE) for CoTcW2 after structural relaxation.

Summary:
Calculated formation energy: 183.8 meV per atom
M_tot: 1.3 μB per formula unit
SG: P2/m
Offset from the most stable computed form: 67.3 meV/atom
Total DFT energy (no corrections): -10.661 eV per atom

Geometry as POSCAR:
```
CoTcW2
1.0
2.677 0.000 0.000
0.000 4.295 0.000
-0.878 0.000 5.091
Co Tc W
1 1 2
Direct
0.000 0.000 0.000
0.500 0.000 0.500
0.255 0.500 0.755
0.745 0.500 0.245
```

Entry 28:
Density functional theory data (PBE) for CoTcW2 after structural relaxation.

Summary:
Calculated formation energy: 179.9 meV per atom
M_tot: 0.0 μB per formula unit
SG: P4mm
Offset from the most stable computed form: 63.4 meV/atom
Total DFT energy (no corrections): -10.665 eV per atom

Geometry as POSCAR:
```
CoTcW2
1.0
2.684 0.000 0.000
0.000 2.684 0.000
0.000 0.000 8.015
Co Tc W
1 1 2
Direct
0.000 0.000 0.000
0.500 0.500 0.215
0.000 0.000 0.488
0.500 0.500 0.769
```

Entry 29:
Density functional theory data (PBE) for CoTcW2 after structural relaxation.

Summary:
Calculated formation energy: 134.3 meV per atom
M_tot: 0.1 μB per formula unit
SG: Cmm2
Offset from the most stable computed form: 17.9 meV/atom
Total DFT energy (no corrections): -10.710 eV per atom

Geometry as POSCAR:
```
CoTcW2
1.0
1.652 -2.113 0.000
1.652 2.113 0.000
0.000 0.000 8.262
Co Tc W
1 1 2
Direct
0.000 0.000 0.000
0.500 0.500 0.222
0.000 0.000 0.490
0.500 0.500 0.766
```

Entry 30:
Density functional theory data (PBE) for CoTcW2 after structural relaxation.

Summary:
Calculated formation energy: 178.1 meV per atom
M_tot: 0.0 μB per formula unit
SG: I-4m2
Offset from the most stable computed form: 61.6 meV/atom
Total DFT energy (no corrections): -10.666 eV per atom

Geometry as POSCAR:
```
CoTcW2
1.0
-1.907 1.907 3.974
1.907 -1.907 3.974
1.907 1.907 -3.974
Co Tc W
1 1 2
Direct
0.000 0.000 0.000
0.250 0.750 0.500
0.500 0.500 0.000
0.750 0.250 0.500
```